Entry 1:
Density functional theory data (PBE) for crystalline YIr3 at its relaxed geometry.

The calculation puts the energy relative to the elements at -0.234 eV per atom. The calculated volume comes out at 16.9 A^3/atom. The space-group type is I4/mmm (139). The calculation puts the electronic total energy at -8.496 eV/atom.

a = 4.0762 Å, b = 4.9853 Å, c = 4.0762 Å
α = 65.87°, β = 90.00°, γ = 114.13°
With the nearest neighbours (Å) after each atom.
Atoms (fractional coordinates):
Ir  0.0000  0.0000  0.0000  8 Ir 2.88, 4 Y 2.88
Ir  0.5000  0.0000  0.5000  4 Y 2.88, 8 Ir 2.88
Ir  0.7500  0.5000  0.7500  8 Ir 2.88, 4 Y 2.88
Y  0.2500  0.5000  0.2500  12 Ir 2.88

Entry 2:
Density functional theory data (PBE) for crystalline Th2TlH2 at its relaxed geometry.

The calculated volume comes out at 19.6 A^3/atom. The space-group type is C2/c (15). The calculation puts the electronic total energy at -5.085 eV/atom.

a = 6.0711 Å, b = 6.0711 Å, c = 6.7493 Å
α = 103.01°, β = 103.01°, γ = 118.43°
With the nearest neighbours (Å) after each atom.
Atoms (fractional coordinates):
Th  0.4307  0.5693  0.2500  4 H 2.32-2.39
Th  0.7887  0.2113  0.2500  4 H 2.33-2.41
Th  0.2113  0.7887  0.7500  4 H 2.33-2.41
Th  0.5693  0.4307  0.7500  4 H 2.32-2.39
Tl  0.1137  0.8863  0.2500  6 H 3.22-3.55, 6 Th 3.31-3.52
Tl  0.8863  0.1137  0.7500  6 H 3.22-3.55, 6 Th 3.31-3.52
H  0.7483  0.5224  0.4865  4 Th 2.32-2.41
H  0.4776  0.2517  0.0135  4 Th 2.32-2.41
H  0.5224  0.7483  0.9865  4 Th 2.32-2.41
H  0.2517  0.4776  0.5135  4 Th 2.32-2.41

Entry 3:
Density functional theory data (PBE) for crystalline Ac3TiSe6 at its relaxed geometry.

The calculated volume comes out at 32.8 A^3/atom. The space-group type is Cmc2_1 (36). The calculation puts the electronic total energy at -5.850 eV/atom. Its uncorrected formation energy is -167.7 kJ/mol of atoms.

a = 7.2895 Å, b = 9.5935 Å, c = 9.5935 Å
α = 102.48°, β = 90.00°, γ = 90.00°
With the nearest neighbours (Å) after each atom.
Atoms (fractional coordinates):
Ac  0.4766  0.9175  0.7146  7 Se 3.03-3.35
Ac  0.9766  0.7146  0.9175  7 Se 3.03-3.35
Ac  0.4077  0.3963  0.6037  7 Se 3.09-3.34
Ac  0.9077  0.6037  0.3963  7 Se 3.09-3.34
Ac  0.9766  0.0825  0.2854  7 Se 3.03-3.35
Ac  0.4766  0.2854  0.0825  7 Se 3.03-3.35
Ti  0.0244  0.1952  0.8048  4 Se 2.46-2.52
Ti  0.5244  0.8048  0.1952  4 Se 2.46-2.52
Se  0.1931  0.6825  0.6394  4 Ac 3.03-3.11
Se  0.6931  0.6394  0.6825  4 Ac 3.03-3.11
Se  0.1848  0.4221  0.8995  1 Ti 2.46
Se  0.6848  0.8995  0.4221  1 Ti 2.46
Se  0.1613  0.0406  0.9594  1 Ti 2.52
Se  0.6828  0.2181  0.7819  1 Ti 2.51
Se  0.1828  0.7819  0.2181  1 Ti 2.51
Se  0.6613  0.9594  0.0406  1 Ti 2.52
Se  0.1848  0.1005  0.5779  1 Ti 2.46
Se  0.6848  0.5779  0.1005  1 Ti 2.46
Se  0.1931  0.3606  0.3175  4 Ac 3.03-3.11
Se  0.6931  0.3175  0.3606  4 Ac 3.03-3.11

Entry 4:
Density functional theory data (PBE) for crystalline Rb2BiN at its relaxed geometry.

The calculated volume comes out at 44.1 A^3/atom. The space-group type is I-42d (122). The calculation puts the electronic total energy at -3.172 eV/atom. Its uncorrected formation energy is 35.0 kJ/mol of atoms.

a = 12.2871 Å, b = 12.2871 Å, c = 8.9971 Å
α = 46.93°, β = 46.93°, γ = 90.00°
With the nearest neighbours (Å) after each atom.
Atoms (fractional coordinates):
Bi  0.0000  0.0000  0.0000  2 N 2.34
Bi  0.7500  0.2500  0.5000  2 N 2.34
Rb  0.4225  0.1250  0.2500  2 N 3.18
Rb  0.3275  0.6250  0.2500  2 N 3.18
Rb  0.3750  0.5775  0.7500  2 N 3.18
Rb  0.8750  0.6725  0.7500  2 N 3.18
N  0.5000  0.5000  0.0000  2 Bi 2.34
N  0.2500  0.7500  0.5000  2 Bi 2.34

Entry 5:
Density functional theory data (PBE) for crystalline Nd4GeS2Cl at its relaxed geometry.

The calculated volume comes out at 25.4 A^3/atom. The space-group type is P2/m (10). The calculation puts the electronic total energy at -5.860 eV/atom. Its uncorrected formation energy is -157.8 kJ/mol of atoms.

a = 4.1398 Å, b = 7.1805 Å, c = 7.2380 Å
α = 70.89°, β = 90.00°, γ = 90.00°
With the nearest neighbours (Å) after each atom.
Atoms (fractional coordinates):
Nd  0.0000  0.7712  0.7279  3 S 2.82-2.95, 1 Ge 2.94, 2 Cl 3.07
Nd  0.0000  0.2288  0.2721  3 S 2.82-2.95, 1 Ge 2.94, 2 Cl 3.07
Nd  0.5000  0.7606  0.2585  3 S 2.82-2.94, 2 Ge 2.95, 1 Cl 3.05
Nd  0.5000  0.2394  0.7415  3 S 2.82-2.94, 2 Ge 2.95, 1 Cl 3.05
Ge  0.0000  0.5000  0.5000  6 Nd 2.94-2.95
S  0.0000  0.0000  0.0000  6 Nd 2.94-2.95
S  0.5000  0.0000  0.5000  6 Nd 2.82
Cl  0.5000  0.5000  0.0000  6 Nd 3.05-3.07

Entry 6:
Density functional theory data (PBE) for crystalline Ho6Ni2Se3S at its relaxed geometry.

The calculated volume comes out at 22.8 A^3/atom. The space-group type is C2/m (12). The calculation puts the electronic total energy at -5.788 eV/atom. Its uncorrected formation energy is -127.4 kJ/mol of atoms.

a = 6.8202 Å, b = 6.8202 Å, c = 7.1794 Å
α = 99.08°, β = 99.08°, γ = 120.17°
With the nearest neighbours (Å) after each atom.
Atoms (fractional coordinates):
Ho  0.9236  0.5804  0.7736  2 Ni 2.71, 1 S 2.81, 3 Se 2.92-2.97
Ho  0.7329  0.7329  0.2279  2 Ni 2.73, 1 S 2.80, 3 Se 2.88-2.92
Ho  0.0764  0.4196  0.2264  2 Ni 2.71, 1 S 2.81, 3 Se 2.92-2.97
Ho  0.5804  0.9236  0.7736  2 Ni 2.71, 1 S 2.81, 3 Se 2.92-2.97
Ho  0.2671  0.2671  0.7721  2 Ni 2.73, 1 S 2.80, 3 Se 2.88-2.92
Ho  0.4196  0.0764  0.2264  2 Ni 2.71, 1 S 2.81, 3 Se 2.92-2.97
Ni  0.3325  0.6675  0.0000  6 Ho 2.71-2.73
Ni  0.6675  0.3325  0.0000  6 Ho 2.71-2.73
Se  0.1618  0.8382  0.5000  6 Ho 2.92-2.97
Se  0.8382  0.1618  0.5000  6 Ho 2.92-2.97
Se  0.5000  0.5000  0.5000  6 Ho 2.88-2.96
S  0.0000  0.0000  0.0000  6 Ho 2.80-2.81

Entry 7:
Density functional theory data (PBE) for crystalline Cs2PmGaTe4 at its relaxed geometry.

The calculated volume comes out at 40.4 A^3/atom. The space-group type is C2/c (15). The calculation puts the electronic total energy at -3.570 eV/atom. Its uncorrected formation energy is -78.5 kJ/mol of atoms.

a = 9.6331 Å, b = 9.6331 Å, c = 9.7187 Å
α = 118.82°, β = 118.82°, γ = 92.54°
With the nearest neighbours (Å) after each atom.
Atoms (fractional coordinates):
Cs  0.5000  0.0000  0.0000  6 Te 3.56-3.79
Cs  0.5000  0.0000  0.5000  6 Te 3.56-3.79
Cs  0.0000  0.0000  0.5000  6 Te 3.75-3.89
Cs  0.5000  0.5000  0.0000  6 Te 3.75-3.89
Pm  0.0000  0.5000  0.0000  6 Te 3.15-3.29
Pm  0.0000  0.5000  0.5000  6 Te 3.15-3.29
Ga  0.5000  0.5000  0.5000  2 Te 2.80
Ga  0.0000  0.0000  0.0000  2 Te 2.80
Te  0.1938  0.7318  0.9576  2 Pm 3.15-3.21, 1 Ga 3.24
Te  0.7682  0.3062  0.5424  2 Pm 3.15-3.21, 1 Ga 3.24
Te  0.2318  0.6938  0.4576  2 Pm 3.15-3.21, 1 Ga 3.24
Te  0.8062  0.2682  0.0424  2 Pm 3.15-3.21, 1 Ga 3.24
Te  0.7935  0.7584  0.9700  1 Ga 2.80
Te  0.7416  0.7065  0.5300  1 Ga 2.80
Te  0.2584  0.2936  0.4700  1 Ga 2.80
Te  0.2064  0.2416  0.0300  1 Ga 2.80

Entry 8:
Density functional theory data (PBE) for crystalline Ba2WS4 at its relaxed geometry.

The calculated volume comes out at 29.2 A^3/atom. The space-group type is P2_1/m (11). The calculation puts the electronic total energy at -6.047 eV/atom. Its uncorrected formation energy is -124.3 kJ/mol of atoms.

a = 7.2455 Å, b = 6.7165 Å, c = 8.8218 Å
α = 90.00°, β = 107.94°, γ = 90.00°
With the nearest neighbours (Å) after each atom.
Atoms (fractional coordinates):
Ba  0.7251  0.7500  0.0515  8 S 3.18-3.55
Ba  0.2749  0.2500  0.9485  8 S 3.18-3.55
Ba  0.2219  0.2500  0.4287  8 S 3.23-3.50
Ba  0.7781  0.7500  0.5713  8 S 3.23-3.50
W  0.2694  0.7500  0.2022  4 S 2.29-2.30
W  0.7306  0.2500  0.7978  4 S 2.29-2.30
S  0.4969  0.5009  0.2631  1 W 2.29
S  0.1109  0.7500  0.9345  1 W 2.29
S  0.8891  0.2500  0.0655  1 W 2.29
S  0.4969  0.9991  0.2631  1 W 2.29
S  0.9177  0.2500  0.6299  1 W 2.30
S  0.5031  0.0009  0.7369  1 W 2.29
S  0.5031  0.4991  0.7369  1 W 2.29
S  0.0823  0.7500  0.3701  1 W 2.30